The following is a DFT calculation (PBE-GGA) of a relaxed structure of AcEuYAl.

Geometry as extended XYZ:
```
4
Lattice="0.000 3.980 3.980 3.980 0.000 3.980 3.980 3.980 0.000" Properties=species:S:1:pos:R:3 pbc="T T T"
Ac 0.000 0.000 0.000
Eu 5.970 5.970 5.970
Y 1.990 1.990 1.990
Al 3.980 3.980 3.980
```

Output
formation energy	0.0941	eV/atom
SG	F-43m, No. 216



The following is a DFT calculation (PBE-GGA) of a relaxed structure of BaReMo3.

Geometry as extended XYZ:
```
5
Lattice="4.833 0.000 0.000 0.000 4.833 0.000 0.000 0.000 4.833" Properties=species:S:1:pos:R:3 pbc="T T T"
Ba 0.000 0.000 0.000
Re 2.416 2.416 2.416
Mo 0.000 0.000 2.416
Mo 0.000 2.416 0.000
Mo 2.416 0.000 0.000
```

Output
formation energy	3.5981	eV/atom
SG	Pm-3m, No. 221



The following is a DFT calculation (PBE-GGA) of a relaxed structure of TlCl.

Geometry as extended XYZ:
```
4
Lattice="5.465 0.000 0.000 -2.732 4.733 0.000 0.000 0.000 6.473" Properties=species:S:1:pos:R:3 pbc="T T T"
Tl 0.000 3.155 1.618
Tl 2.732 1.578 4.855
Cl 0.000 3.155 4.855
Cl 2.732 1.578 1.618
```

Output
SG	P6_3/mmc, No. 194



The following is a DFT calculation (PBE-GGA) of a relaxed structure of AcSnHg2.

Geometry as extended XYZ:
```
4
Lattice="3.977 0.000 0.000 0.000 3.977 0.000 0.000 0.000 7.324" Properties=species:S:1:pos:R:3 pbc="T T T"
Ac 0.000 0.000 0.000
Sn 0.000 0.000 3.662
Hg 1.988 1.988 1.998
Hg 1.988 1.988 5.326
```

Output
formation energy	-0.3244	eV/atom
SG	P4/mmm, No. 123



These records have total DFT energy (no corrections) values of -6.053 -5.775 -3.093 -2.503 eV per atom, in the order they appear.
These records have D(E_F) values of 6.02 7.85 0.00 2.26 states/eV/f.u., in the order they appear.